Be2FeF2: PBEsol geometry, meta-GGA SCAN.

## Properties
Energy = -7.763 eV per atom
Space group = I4/mmm, No. 139
Formation energy (no corrections) = -4.90 eV/f.u.
Mass density = 3.86 g cm⁻³

Cell lengths 2.9807, 2.9807, 5.8150 Å; angles 104.85, 104.85, 90.00 degrees
Site moments in Bohr magnetons follow the coordinates.
Fractional positions:
Be 0.3470 0.3470 0.6940  -0.04
Be 0.6530 0.6530 0.3060  -0.04
F 0.7500 0.2500 0.5000  0.00
F 0.2500 0.7500 0.5000  0.00
Fe 0.0000 0.0000 0.0000  2.34